No. 1
A plane-wave DFT calculation with PBE was carried out for PuMnZn after structural relaxation.

Summary:
* magnetic moment: 5.8 μB per cell
* ΔE_f: -0.15 eV per formula unit
* ρ: 11.6 Mg/m³
* total energy: -49.85 eV/cell
* volume: 105 Å³/cell
* D(E_F): 2.053 states/eV per atom

a b c (Å): 5.3249 5.3249 5.3249
angles (deg): 88.56 124.84 116.99
With the nearest neighbours (Å) after each atom.
Fractional coordinates of all 6 atoms:
Mn 0.0000 0.5000 0.5000  4 Zn 2.66, 2 Mn 2.78
Mn 0.5000 0.0000 0.5000  4 Zn 2.66, 2 Mn 2.78
Pu 0.7500 0.8843 0.1343  6 Mn 3.01-3.12, 2 Pu 3.03, 6 Zn 3.17-3.18
Pu 0.2500 0.1157 0.8657  6 Mn 3.01-3.12, 2 Pu 3.03, 6 Zn 3.17-3.18
Zn 0.0000 0.5000 0.0000  2 Zn 2.47, 4 Mn 2.66
Zn 0.5000 0.5000 0.5000  2 Zn 2.47, 4 Mn 2.66


No. 2
A plane-wave DFT calculation with PBE was carried out for Nd7HoTm4 after structural relaxation.

Summary:
* magnetic moment: 0.0 μB per cell
* ΔE_f: 2.62 eV per formula unit
* offset from the most stable computed form: 213 meV/atom
* ρ: 7.6 Mg/m³
* total energy: -53.22 eV/cell
* volume: 406 Å³/cell
* D(E_F): 1.600 states/eV per atom

a b c (Å): 5.9922 9.6988 8.5962
angles (deg): 61.77 69.60 72.01
With the nearest neighbours (Å) after each atom.
Fractional coordinates of all 12 atoms:
Tm 0.6689 0.6223 0.0398  7 Nd 3.20-3.52, 1 Tm 3.57
Tm 0.5691 0.3009 0.5610  2 Nd 3.26-3.49, 2 Tm 3.39-3.57
Tm 0.4309 0.6991 0.4390  2 Nd 3.26-3.49, 2 Tm 3.39-3.57
Tm 0.3311 0.3777 0.9602  7 Nd 3.20-3.52, 1 Tm 3.57
Nd 0.5000 0.0000 0.0000  2 Ho 3.00
Nd 0.0866 0.5495 0.2773  3 Nd 3.32-3.67, 3 Tm 3.47-3.52
Nd 0.7846 0.2435 0.1873  1 Ho 3.18, 4 Tm 3.20-3.46, 2 Nd 3.34-3.44
Nd 0.7880 0.8867 0.5374  6 Nd 3.34-3.67, 2 Tm 3.70
Nd 0.2154 0.7565 0.8127  1 Ho 3.18, 4 Tm 3.20-3.46, 2 Nd 3.34-3.44
Nd 0.9134 0.4505 0.7227  3 Nd 3.32-3.67, 3 Tm 3.47-3.52
Nd 0.2120 0.1133 0.4626  6 Nd 3.34-3.67, 2 Tm 3.70
Ho 0.0000 0.0000 0.0000  4 Nd 3.00-3.18


No. 3
A plane-wave DFT calculation with PBE was carried out for BaTa2Be after structural relaxation.

Summary:
* magnetic moment: 0.0 μB per cell
* ΔE_f: 5.24 eV per formula unit
* ρ: 10.1 Mg/m³
* total energy: -24.11 eV/cell
* volume: 84 Å³/cell
* D(E_F): 1.146 states/eV per atom

a b c (Å): 5.6087 5.6087 5.6087
angles (deg): 136.09 136.09 63.83
With the nearest neighbours (Å) after each atom.
Fractional coordinates of all 4 atoms:
Ta 0.0000 0.0000 0.0000  4 Ta 2.97, 4 Ba 3.17, 4 Be 3.17
Ta 0.5000 0.5000 0.0000  4 Ta 2.97, 4 Be 3.17, 4 Ba 3.17
Ba 0.2500 0.7500 0.5000  4 Be 2.97, 8 Ta 3.17
Be 0.7500 0.2500 0.5000  4 Ba 2.97, 8 Ta 3.17


No. 4
A plane-wave DFT calculation with PBE was carried out for TlGa2Mo2 after structural relaxation.

Summary:
* magnetic moment: 0.0 μB per cell
* ΔE_f: 1.18 eV per formula unit
* offset from the most stable computed form: 0 meV/atom
* ρ: 9.9 Mg/m³
* total energy: -57.80 eV/cell
* volume: 180 Å³/cell
* D(E_F): 0.644 states/eV per atom

a b c (Å): 7.2638 7.2638 3.4022
angles (deg): 90.00 90.00 90.00
With the nearest neighbours (Å) after each atom.
Fractional coordinates of all 10 atoms:
Ga 0.3330 0.1670 0.5000  6 Mo 2.73-2.75
Ga 0.6670 0.8330 0.5000  6 Mo 2.73-2.75
Ga 0.8330 0.3330 0.5000  6 Mo 2.73-2.75
Ga 0.1670 0.6670 0.5000  6 Mo 2.73-2.75
Mo 0.1231 0.3769 0.0000  1 Mo 2.53, 6 Ga 2.73-2.75
Mo 0.3769 0.8769 0.0000  1 Mo 2.53, 6 Ga 2.73-2.75
Mo 0.6231 0.1231 0.0000  1 Mo 2.53, 6 Ga 2.73-2.75
Mo 0.8769 0.6231 0.0000  1 Mo 2.53, 6 Ga 2.73-2.75
Tl 0.0000 0.0000 0.0000  4 Mo 2.88, 8 Ga 3.20
Tl 0.5000 0.5000 0.0000  4 Mo 2.88, 8 Ga 3.20


- What is the formula in the first record?
  PuMnZn


- Look up the ΔE_f of the first one.
  -0.15 eV per formula unit


Repeat the fourth record exactly.
A plane-wave DFT calculation with PBE was carried out for TlGa2Mo2 after structural relaxation.

Summary:
* magnetic moment: 0.0 μB per cell
* ΔE_f: 1.18 eV per formula unit
* offset from the most stable computed form: 0 meV/atom
* ρ: 9.9 Mg/m³
* total energy: -57.80 eV/cell
* volume: 180 Å³/cell
* D(E_F): 0.644 states/eV per atom

a b c (Å): 7.2638 7.2638 3.4022
angles (deg): 90.00 90.00 90.00
With the nearest neighbours (Å) after each atom.
Fractional coordinates of all 10 atoms:
Ga 0.3330 0.1670 0.5000  6 Mo 2.73-2.75
Ga 0.6670 0.8330 0.5000  6 Mo 2.73-2.75
Ga 0.8330 0.3330 0.5000  6 Mo 2.73-2.75
Ga 0.1670 0.6670 0.5000  6 Mo 2.73-2.75
Mo 0.1231 0.3769 0.0000  1 Mo 2.53, 6 Ga 2.73-2.75
Mo 0.3769 0.8769 0.0000  1 Mo 2.53, 6 Ga 2.73-2.75
Mo 0.6231 0.1231 0.0000  1 Mo 2.53, 6 Ga 2.73-2.75
Mo 0.8769 0.6231 0.0000  1 Mo 2.53, 6 Ga 2.73-2.75
Tl 0.0000 0.0000 0.0000  4 Mo 2.88, 8 Ga 3.20
Tl 0.5000 0.5000 0.0000  4 Mo 2.88, 8 Ga 3.20


- Which of these has the highest volume?
  Nd7HoTm4